# 1
A plane-wave DFT calculation with PBE was carried out for an optimized crystal structure of La2CrIr.

Values from the calculation:
* electronic total energy: -112.231 eV/cell
* E_form: 0.07 eV/atom
* D(E_F): 5.37 states/eV/f.u.
* ΔE to the lowest computed polymorph: 224 meV per atom

abc: 7.0918 7.0918 7.0918
angles: 90.00 90.00 90.00
With the nearest neighbours (Å) after each atom.
Space group F-43m (No. 216)
Symmetry-distinct sites (fractional):
La 0.0000 0.0000 0.0000  4 La 3.07, 4 Cr 3.07
La 0.2500 0.2500 0.2500  4 Ir 3.07, 4 La 3.07
Cr 0.2500 0.2500 0.7500  4 La 3.07, 4 Ir 3.07
Ir 0.0000 0.0000 0.5000  4 Cr 3.07, 4 La 3.07


# 2
A plane-wave DFT calculation with PBE was carried out for an optimized crystal structure of LaCr2Ir.

Values from the calculation:
* electronic total energy: -90.009 eV/cell
* E_form: 0.76 eV/atom
* D(E_F): 4.13 states/eV/f.u.
* ΔE to the lowest computed polymorph: 583 meV per atom

abc: 2.8229 2.8229 28.6912
angles: 90.00 90.00 120.00
With the nearest neighbours (Å) after each atom.
Space group R-3m (No. 166, hexagonal axes)
Symmetry-distinct sites (fractional):
La 0.0000 0.0000 0.0000  6 La 2.82
Cr 0.0000 0.0000 0.2378  3 Ir 2.61, 6 Cr 2.82
Ir 0.0000 0.0000 0.5000  6 Cr 2.61, 6 Ir 2.82


# 3
A plane-wave DFT calculation with PBE was carried out for an optimized crystal structure of LaCr2Ir.

Values from the calculation:
* electronic total energy: -31.686 eV/cell
* E_form: 0.34 eV/atom
* D(E_F): 4.83 states/eV/f.u.
* ΔE to the lowest computed polymorph: 162 meV per atom

abc: 2.8734 4.3688 5.9744
angles: 90.00 103.51 90.00
With the nearest neighbours (Å) after each atom.
Space group P2/m (No. 10)
Symmetry-distinct sites (fractional):
La 0.0000 0.0000 0.0000  2 La 2.87, 2 Ir 2.99, 4 Cr 3.15
Cr 0.4653 0.5000 0.6549  1 Cr 1.91
Ir 0.0000 0.0000 0.5000  4 Cr 2.61, 2 Ir 2.87


# 4
A plane-wave DFT calculation with PBE was carried out for an optimized crystal structure of LaCr2Ir.

Values from the calculation:
* electronic total energy: -92.647 eV/cell
* E_form: 0.54 eV/atom
* D(E_F): 5.25 states/eV/f.u.
* ΔE to the lowest computed polymorph: 363 meV per atom

abc: 2.9453 2.9453 27.0203
angles: 90.00 90.00 120.00
With the nearest neighbours (Å) after each atom.
Space group R3m (No. 160, hexagonal axes)
Symmetry-distinct sites (fractional):
La 0.0000 0.0000 0.0000  6 La 2.95, 3 Ir 3.18, 3 Cr 3.28
Cr 0.0000 0.0000 0.2294  3 Cr 2.30
Cr 0.0000 0.0000 0.5055  3 Cr 2.30
Ir 0.0000 0.0000 0.7659  3 Cr 2.60


# 5
A plane-wave DFT calculation with PBE was carried out for an optimized crystal structure of La2CrIr.

Values from the calculation:
* electronic total energy: -27.848 eV/cell
* E_form: 0.12 eV/atom
* D(E_F): 5.81 states/eV/f.u.
* ΔE to the lowest computed polymorph: 277 meV per atom

abc: 3.1743 3.1743 9.2190
angles: 90.00 90.00 90.00
With the nearest neighbours (Å) after each atom.
Space group P4mm (No. 99)
Symmetry-distinct sites (fractional):
La 0.0000 0.0000 0.0000  4 La 3.17, 4 Ir 3.20, 1 Cr 3.44
La 0.5000 0.5000 0.3857  4 Cr 3.16, 4 La 3.17, 1 Ir 3.39
Cr 0.0000 0.0000 0.6266  4 Ir 2.53
Ir 0.5000 0.5000 0.7529  4 Cr 2.53


# 6
A plane-wave DFT calculation with PBE was carried out for an optimized crystal structure of LaCrIr4.

Values from the calculation:
* electronic total energy: -203.365 eV/cell
* E_form: -0.14 eV/atom
* D(E_F): 10.02 states/eV/f.u.

abc: 7.5568 7.5568 7.5568
angles: 90.00 90.00 90.00
With the nearest neighbours (Å) after each atom.
Space group F-43m (No. 216)
Symmetry-distinct sites (fractional):
La 0.0000 0.0000 0.0000  12 Ir 3.13, 4 Cr 3.27
Cr 0.2500 0.2500 0.7500  12 Ir 3.13, 4 La 3.27
Ir 0.1243 0.1243 0.3757  6 Ir 2.66-2.69


# 7
A plane-wave DFT calculation with PBE was carried out for an optimized crystal structure of La2CrIr.

Values from the calculation:
* electronic total energy: -57.270 eV/cell
* E_form: -0.07 eV/atom
* D(E_F): 3.28 states/eV/f.u.
* ΔE to the lowest computed polymorph: 80 meV per atom

abc: 3.6375 4.6875 11.5188
angles: 90.00 90.00 90.00
With the nearest neighbours (Å) after each atom.
Space group Imm2 (No. 44)
Symmetry-distinct sites (fractional):
La 0.0000 0.0000 0.0000  4 Ir 3.02, 2 Cr 3.30
La 0.0000 0.5000 0.2122  4 Cr 3.13, 2 La 3.39
Cr 0.0000 0.5000 0.7982  2 Ir 2.53
Ir 0.0000 0.0000 0.4504  2 Cr 2.53


# 8
A plane-wave DFT calculation with PBE was carried out for an optimized crystal structure of LaCr2Ir.

Values from the calculation:
* electronic total energy: -64.281 eV/cell
* E_form: 0.22 eV/atom
* D(E_F): 4.43 states/eV/f.u.
* ΔE to the lowest computed polymorph: 48 meV per atom

abc: 9.6100 2.9962 5.3770
angles: 90.00 102.82 90.00
With the nearest neighbours (Å) after each atom.
Space group C2/m (No. 12)
Symmetry-distinct sites (fractional):
La 0.0000 0.0000 0.0000  2 La 3.00, 4 Ir 3.08, 6 Cr 3.26-3.32
Cr 0.2236 0.0000 0.6250  2 Cr 2.15
Ir 0.0000 0.5000 0.5000  6 Cr 2.58-2.88


# 9
A plane-wave DFT calculation with PBE was carried out for an optimized crystal structure of LaCr2Ir.

Values from the calculation:
* electronic total energy: -63.060 eV/cell
* E_form: 0.38 eV/atom
* D(E_F): 4.88 states/eV/f.u.
* ΔE to the lowest computed polymorph: 201 meV per atom

abc: 3.0664 4.8720 9.8071
angles: 90.00 90.00 90.00
With the nearest neighbours (Å) after each atom.
Space group Imm2 (No. 44)
Symmetry-distinct sites (fractional):
La 0.0000 0.0000 0.0000  8 Cr 2.89-3.21, 2 Ir 3.06, 2 La 3.07
Cr 0.0000 0.0000 0.5211  2 Ir 2.56, 2 Cr 2.75
Cr 0.0000 0.5000 0.7878  4 Cr 2.75-3.07, 4 Ir 2.93
Ir 0.0000 0.5000 0.2301  2 Cr 2.56


# 10
A plane-wave DFT calculation with PBE was carried out for an optimized crystal structure of LaCr2Ir.

Values from the calculation:
* electronic total energy: -64.041 eV/cell
* E_form: 0.25 eV/atom
* D(E_F): 3.39 states/eV/f.u.
* ΔE to the lowest computed polymorph: 78 meV per atom

abc: 8.8679 3.1070 5.8858
angles: 90.00 105.17 90.00
With the nearest neighbours (Å) after each atom.
Space group Cm (No. 8)
Symmetry-distinct sites (fractional):
La 0.0000 0.0000 0.0000  3 Ir 3.02-3.13, 2 La 3.11, 7 Cr 3.23-3.33
Cr 0.0027 0.5000 0.5002  2 Cr 2.39, 2 Ir 2.58
Cr 0.2929 0.5000 0.3772  2 Cr 2.39, 2 Ir 2.54
Ir 0.2342 0.0000 0.6844  4 Cr 2.54-2.58


# 11
A plane-wave DFT calculation with PBE was carried out for an optimized crystal structure of La2CrIr2.

Values from the calculation:
* electronic total energy: -76.242 eV/cell
* E_form: -0.18 eV/atom
* D(E_F): 4.94 states/eV/f.u.

abc: 6.6549 6.6549 4.8271
angles: 90.00 90.00 90.00
With the nearest neighbours (Å) after each atom.
Space group P4/mbm (No. 127)
Symmetry-distinct sites (fractional):
La 0.1754 0.3246 0.0000  6 Ir 2.94-3.23
Cr 0.0000 0.0000 0.5000  4 Ir 2.55
Ir 0.1466 0.6466 0.5000  2 Cr 2.55, 1 Ir 2.76


# 12
A plane-wave DFT calculation with PBE was carried out for an optimized crystal structure of LaCr2Ir.

Values from the calculation:
* electronic total energy: -62.003 eV/cell
* E_form: 0.51 eV/atom
* D(E_F): 4.03 states/eV/f.u.
* ΔE to the lowest computed polymorph: 333 meV per atom

abc: 5.8758 7.5862 3.2469
angles: 90.00 90.00 90.00
With the nearest neighbours (Å) after each atom.
Space group Cmmm (No. 65)
Symmetry-distinct sites (fractional):
La 0.0000 0.0000 0.0000  8 Cr 2.90, 2 Ir 2.94
Cr 0.2500 0.2500 0.5000  4 La 2.90, 4 Ir 2.90, 2 Cr 2.94
Ir 0.0000 0.5000 0.0000  8 Cr 2.90, 2 La 2.94


# 13
A plane-wave DFT calculation with PBE was carried out for an optimized crystal structure of LiLaCr2Ir.

Values from the calculation:
* electronic total energy: -25.743 eV/cell
* E_form: 1.84 eV/atom
* D(E_F): 7.44 states/eV/f.u.

abc: 4.4328 4.4328 4.4346
angles: 90.00 90.00 90.00
With the nearest neighbours (Å) after each atom.
Space group P4/mmm (No. 123)
Symmetry-distinct sites (fractional):
Li 0.0000 0.0000 0.0000  2 La 2.22
La 0.0000 0.0000 0.5000  4 Cr 2.22, 2 Li 2.22
Cr 0.0000 0.5000 0.5000  2 La 2.22
Ir 0.5000 0.5000 0.0000  4 Li 3.13, 8 Cr 3.14


# 14
A plane-wave DFT calculation with PBE was carried out for an optimized crystal structure of LaCrMo2Ir.

Values from the calculation:
* electronic total energy: -33.795 eV/cell
* E_form: 2.26 eV/atom
* D(E_F): 4.83 states/eV/f.u.

abc: 4.6910 4.6910 4.3893
angles: 90.00 90.00 90.00
With the nearest neighbours (Å) after each atom.
Space group P4/mmm (No. 123)
Symmetry-distinct sites (fractional):
La 0.0000 0.0000 0.0000  2 Cr 2.19, 4 Mo 2.35
Cr 0.0000 0.0000 0.5000  2 La 2.19
Mo 0.0000 0.5000 0.0000  2 La 2.35
Ir 0.5000 0.5000 0.5000  8 Mo 3.21, 4 Cr 3.32


# 15
A plane-wave DFT calculation with PBE was carried out for an optimized crystal structure of La2CrIrN.

Values from the calculation:
* raw formation energy: -0.62 eV/atom
* electronic total energy: -39.780 eV/cell
* D(E_F): 3.72 states/eV/f.u.

abc: 5.2023 5.2023 3.7826
angles: 90.00 90.00 90.00
With the nearest neighbours (Å) after each atom.
Space group P4/mmm (No. 123)
Symmetry-distinct sites (fractional):
La 0.0000 0.5000 0.0000  2 N 2.60
Cr 0.0000 0.0000 0.5000  2 N 1.89
Ir 0.5000 0.5000 0.5000  8 La 3.22
N 0.0000 0.0000 0.0000  2 Cr 1.89